No. 1
Below is a crystal of CuMo3 relaxed with PBEsol, with properties calculated at the meta-GGA SCAN level.

Cell lengths 2.5600, 4.7220, 5.0250 Å; angles 95.21, 90.00, 105.73 degrees
Closest atoms and distances in Å follow each position.
Fractional coordinates of all 4 atoms:
1 Mo 0.5000 0.0000 0.5000  4 Mo 2.56-2.66, 4 Cu 2.82
2 Mo 0.7421 0.4842 0.2409  5 Mo 2.56-2.75, 3 Cu 2.73-2.74
3 Mo 0.2579 0.5158 0.7591  5 Mo 2.56-2.75, 3 Cu 2.73-2.74
4 Cu 0.0000 0.0000 0.0000  2 Cu 2.56, 10 Mo 2.73-2.82

Its total energy is -29.652 eV/atom. Its symmetry is C2/m, No. 12. As for the density: 10.02 Mg/m³.

No. 2
Below is a crystal of CuMo relaxed with PBEsol, with properties calculated at the meta-GGA SCAN level.

Cell lengths 3.1506, 3.1506, 5.4860 Å; angles 90.00, 90.00, 90.00 degrees
Closest atoms and distances in Å follow each position.
Fractional coordinates of all 4 atoms:
1 Cu 0.0000 0.5000 0.1031  4 Cu 2.50, 5 Mo 2.64-2.69
2 Cu 0.5000 0.0000 0.8969  4 Cu 2.50, 5 Mo 2.64-2.69
3 Mo 0.5000 0.0000 0.3787  4 Mo 2.60, 6 Cu 2.64-2.84
4 Mo 0.0000 0.5000 0.6213  4 Mo 2.60, 6 Cu 2.64-2.84

Its total energy is -24.802 eV/atom. Its symmetry is P4/nmm, No. 129. As for the density: 9.73 Mg/m³.

- What is the formula in the second record?
  CuMo

- Among the records above, which one has the highest density?
  CuMo3

Repeat the first record exactly.
Below is a crystal of CuMo3 relaxed with PBEsol, with properties calculated at the meta-GGA SCAN level.

Cell lengths 2.5600, 4.7220, 5.0250 Å; angles 95.21, 90.00, 105.73 degrees
Closest atoms and distances in Å follow each position.
Fractional coordinates of all 4 atoms:
1 Mo 0.5000 0.0000 0.5000  4 Mo 2.56-2.66, 4 Cu 2.82
2 Mo 0.7421 0.4842 0.2409  5 Mo 2.56-2.75, 3 Cu 2.73-2.74
3 Mo 0.2579 0.5158 0.7591  5 Mo 2.56-2.75, 3 Cu 2.73-2.74
4 Cu 0.0000 0.0000 0.0000  2 Cu 2.56, 10 Mo 2.73-2.82

Its total energy is -29.652 eV/atom. Its symmetry is C2/m, No. 12. As for the density: 10.02 Mg/m³.